Entry from Alexandria via LeMat-Bulk: an optimized crystal structure of CaMn2Fe (GGA-PBE).

CIF file:
```
data_CaMn2Fe
_space_group_name_H-M_alt 'R 3 m'
_space_group_IT_number 160
_space_group_name_Hall 'R 3 -2"'
_cell_length_a 2.8691
_cell_length_b 2.8691
_cell_length_c 26.7786
_cell_angle_alpha 90.00
_cell_angle_beta 90.00
_cell_angle_gamma 120.00
loop_
_atom_site_label
_atom_site_fract_x
_atom_site_fract_y
_atom_site_fract_z
_atom_site_occupancy
Ca1 0.0000 0.0000 0.0000 1
Mn1 0.0000 0.0000 0.4981 1
Mn2 0.0000 0.0000 0.7622 1
Fe1 0.0000 0.0000 0.2383 1
```

Computed properties:
- calculated volume (Å³ per atom) = 15.9
- calculated formation energy (eV per atom) = 0.7065
- final energy (eV/atom) = -6.49